(1)
# GGA-PBE Ti2Zn12Au, optimized geometry
# **Energy relative to the elements**: 2 kJ per mole of atoms
data_Ti2Zn12Au
_space_group_name_H-M_alt 'P 4/n b m'
_space_group_IT_number 125
_cell_length_a 5.272
_cell_length_b 5.272
_cell_length_c 17.578
_cell_angle_alpha 90.00
_cell_angle_beta 90.00
_cell_angle_gamma 90.00
loop_
_space_group_symop_operation_xyz
'x,y,z'
'-x,-y,-z'
'-y+1/2,x,z'
'y+1/2,-x,-z'
'-x+1/2,-y+1/2,z'
'x+1/2,y+1/2,-z'
'y,-x+1/2,z'
'-y,x+1/2,-z'
'x,-y+1/2,-z'
'-x,y+1/2,z'
'-y+1/2,-x+1/2,-z'
'y+1/2,x+1/2,z'
'-x+1/2,y,-z'
'x+1/2,-y,z'
'y,x,-z'
'-y,-x,z'
loop_
_atom_site_label
_atom_site_type_symbol
_atom_site_fract_x
_atom_site_fract_y
_atom_site_fract_z
Ti1 Ti 0.250 0.750 0.227
Zn1 Zn 0.000 0.000 0.391
Zn2 Zn 0.077 0.577 0.066
Zn3 Zn 0.250 0.250 0.159
Zn4 Zn 0.250 0.250 0.292
Au1 Au 0.250 0.750 0.500


(2)
# GGA-PBE Ti2ZnAu, optimized geometry
# **Energy relative to the elements**: -29 kJ per mole of atoms
data_Ti2ZnAu
_space_group_name_H-M_alt 'P 4/m m m'
_space_group_IT_number 123
_space_group_name_Hall '-P 4 2'
_cell_length_a 4.045
_cell_length_b 4.045
_cell_length_c 4.003
_cell_angle_alpha 90.00
_cell_angle_beta 90.00
_cell_angle_gamma 90.00
loop_
_atom_site_label
_atom_site_type_symbol
_atom_site_fract_x
_atom_site_fract_y
_atom_site_fract_z
Ti1 Ti 0.000 0.500 0.000
Zn1 Zn 0.000 0.000 0.500
Au1 Au 0.500 0.500 0.500


(3)
# GGA-PBE TiZn4Au2, optimized geometry
# **Excess energy over the best structure of this formula in the dataset**: 0.00 eV per formula unit
# **Energy relative to the elements**: -9 kJ per mole of atoms
data_TiZn4Au2
_space_group_name_H-M_alt 'I 4/m m m'
_space_group_IT_number 139
_space_group_name_Hall '-I 4 2'
_cell_length_a 3.439
_cell_length_b 3.439
_cell_length_c 19.905
_cell_angle_alpha 90.00
_cell_angle_beta 90.00
_cell_angle_gamma 90.00
loop_
_atom_site_label
_atom_site_type_symbol
_atom_site_fract_x
_atom_site_fract_y
_atom_site_fract_z
Ti1 Ti 0.000 0.000 0.000
Zn1 Zn 0.000 0.000 0.142
Zn2 Zn 0.000 0.500 0.250
Au1 Au 0.000 0.000 0.424


Among the records above, which one has the highest energy relative to the elements? Ti2Zn12Au


The highest energy relative to the elements belongs to which entry? Ti2Zn12Au


Look up the energy relative to the elements of the second one. -29 kJ per mole of atoms